1.
First-principles (PBE+U) data for an optimized crystal structure of Li2NiBiO4, as listed in Alexandria via LeMat-Bulk.

Computed properties:
uncorrected energy	-5.084	eV/atom
space group	C2/c (15)
energy above the lowest structure with this stoichiometry	47	meV per atom
crystal system	monoclinic

POSCAR file:
```
Li2NiBiO4
1.0
-1.108 0.007 -6.182
5.037 -3.558 -1.191
-4.414 -2.053 3.969
Li O Bi Ni
4 8 2 2
Direct
0.000 0.000 0.500 Li
0.500 0.500 0.000 Li
0.500 0.000 0.500 Li
0.500 0.000 0.000 Li
0.780 0.271 0.526 O
0.251 0.251 0.997 O
0.249 0.249 0.503 O
0.751 0.751 0.497 O
0.220 0.729 0.474 O
0.749 0.749 0.003 O
0.229 0.720 0.974 O
0.771 0.280 0.026 O
0.500 0.500 0.500 Bi
0.000 0.000 0.000 Bi
0.000 0.500 0.000 Ni
0.000 0.500 0.500 Ni
```

2.
First-principles (PBE+U) data for an optimized crystal structure of Li4Ni3BiO8, as listed in Alexandria via LeMat-Bulk.

Computed properties:
uncorrected energy	-5.032	eV/atom
space group	R-3m (166)
energy above the lowest structure with this stoichiometry	2	meV per atom
crystal system	trigonal

POSCAR file:
```
Li4Ni3BiO8
1.0
6.054 0.002 0.001
3.010 5.253 0.001
3.010 1.745 4.954
Li O Bi Ni
4 8 1 3
Direct
0.500 0.000 0.000 Li
0.500 0.500 0.500 Li
0.000 0.500 0.000 Li
0.000 0.000 0.500 Li
0.752 0.255 0.752 O
0.745 0.248 0.248 O
0.248 0.248 0.745 O
0.248 0.745 0.248 O
0.752 0.752 0.255 O
0.255 0.752 0.752 O
0.738 0.738 0.738 O
0.262 0.262 0.262 O
0.000 0.000 0.000 Bi
0.500 0.500 0.000 Ni
0.000 0.500 0.500 Ni
0.500 0.000 0.500 Ni
```

3.
First-principles (PBE+U) data for an optimized crystal structure of Li2Ni3BiO6, as listed in Alexandria via LeMat-Bulk.

Computed properties:
uncorrected energy	-5.037	eV/atom
space group	C2/m (12)
crystal system	monoclinic

POSCAR file:
```
Li2Ni3BiO6
1.0
-2.814 1.000 4.391
-1.731 -3.591 -3.507
4.035 -2.769 2.163
O Ni Li Bi
6 3 2 1
Direct
0.573 0.910 0.730 O
0.247 0.247 0.730 O
0.427 0.090 0.270 O
0.910 0.573 0.730 O
0.090 0.427 0.270 O
0.753 0.753 0.270 O
0.500 0.500 0.500 Ni
0.830 0.170 0.500 Ni
0.170 0.830 0.500 Ni
0.334 0.666 0.000 Li
0.666 0.334 0.000 Li
0.000 0.000 0.000 Bi
```

4.
First-principles (PBE+U) data for an optimized crystal structure of Li2Ni2BiO6, as listed in Alexandria via LeMat-Bulk.

Computed properties:
uncorrected energy	-5.056	eV/atom
space group	C2/m (12)
energy above the lowest structure with this stoichiometry	10	meV per atom
crystal system	monoclinic

POSCAR file:
```
Li2Ni2BiO6
1.0
5.321 0.016 0.129
-2.616 4.634 0.129
-0.942 -1.619 4.939
O Bi Ni Li
6 1 2 2
Direct
0.398 0.038 0.725 O
0.280 0.280 0.292 O
0.602 0.962 0.275 O
0.720 0.720 0.708 O
0.038 0.398 0.725 O
0.962 0.602 0.275 O
0.000 0.000 0.500 Bi
0.665 0.335 0.500 Ni
0.335 0.665 0.500 Ni
0.210 0.790 0.000 Li
0.790 0.210 0.000 Li
```

5.
First-principles (PBE+U) data for an optimized crystal structure of Li2Ni2BiO6, as listed in Alexandria via LeMat-Bulk.

Computed properties:
uncorrected energy	-5.066	eV/atom
space group	C2 (5)
energy above the lowest structure with this stoichiometry	0	meV per atom
crystal system	monoclinic

POSCAR file:
```
Li2Ni2BiO6
1.0
5.309 0.001 0.000
-2.593 4.633 0.000
-0.010 -0.018 10.187
O Li Ni Bi
12 4 4 2
Direct
0.841 0.474 0.615 O
0.660 0.027 0.115 O
0.171 0.130 0.601 O
0.326 0.973 0.893 O
0.526 0.159 0.385 O
0.973 0.340 0.885 O
0.629 0.670 0.899 O
0.027 0.674 0.107 O
0.870 0.829 0.399 O
0.330 0.371 0.101 O
0.174 0.526 0.393 O
0.474 0.826 0.607 O
0.647 0.148 0.750 Li
0.351 0.849 0.250 Li
0.852 0.353 0.250 Li
0.151 0.649 0.750 Li
0.656 0.344 0.000 Ni
0.174 0.826 0.500 Ni
0.844 0.156 0.500 Ni
0.326 0.674 0.000 Ni
0.512 0.488 0.500 Bi
0.988 0.012 0.000 Bi
```

6.
First-principles (PBE+U) data for an optimized crystal structure of Li4Ni5BiO12, as listed in Alexandria via LeMat-Bulk.

Computed properties:
uncorrected energy	-4.907	eV/atom
space group	C2/m (12)
crystal system	monoclinic

POSCAR file:
```
Li4Ni5BiO12
1.0
-2.228 0.890 4.579
1.175 -2.909 4.056
7.978 5.939 0.934
O Ni Li Bi
12 5 4 1
Direct
0.309 0.644 0.883 O
0.607 0.000 0.887 O
0.208 0.000 0.596 O
0.792 0.000 0.404 O
0.866 0.641 0.604 O
0.047 0.644 0.117 O
0.134 0.359 0.396 O
0.507 0.359 0.604 O
0.953 0.356 0.883 O
0.691 0.356 0.117 O
0.393 0.000 0.113 O
0.493 0.641 0.396 O
0.500 0.000 0.500 Ni
0.165 0.671 0.500 Ni
0.667 0.666 0.000 Ni
0.333 0.334 0.000 Ni
0.835 0.329 0.500 Ni
0.420 0.348 0.261 Li
0.232 0.348 0.739 Li
0.580 0.652 0.739 Li
0.768 0.652 0.261 Li
0.000 0.000 0.000 Bi
```